Here is an optimized crystal structure of ErCdGaPt from Alexandria via LeMat-Bulk. Energies are from PBE.

Summary:
Crystal system   cubic
DOS at the Fermi energy   1.0 states/eV/cell
Energy relative to the elements   -632 meV/atom

```
ErCdGaPt
1.0
-2.4033 2.6736 -3.1916
-2.0034 -2.0719 -3.8476
-4.7832 -0.3590 -0.3194
Cd Ga Pt Er
1 1 1 1
direct
0.7500 0.7500 0.7500
0.5000 0.5000 0.5000
0.0000 0.0000 0.0000
0.2500 0.2500 0.2500
```

=====

Here is an optimized crystal structure of RbCa2VRu from Alexandria via LeMat-Bulk. Energies are from PBE.

Summary:
Crystal system   tetragonal
DOS at the Fermi energy   6.0 states/eV/cell
Energy relative to the elements   1651 meV/atom

```
RbCa2VRu
1.0
-2.9268 -0.0659 -4.9659
-4.4780 -2.7039 2.6751
-2.3153 5.1175 1.2967
Ru Ca Rb V
1 2 1 1
direct
0.5000 0.5000 0.5000
0.0000 0.0000 0.5000
0.5000 0.0000 0.0000
0.0000 0.5000 0.0000
0.0000 0.0000 0.0000
```